1.
Computed, not measured: a geometry-optimized YCuSeBr2 structure at the PBE level of DFT.

Cell and atoms, written as CIF:
```
data_YCuSeBr2
_chemical_formula_sum 'Y1 Cu1 Se1 Br2'
_cell_length_a 5.5053
_cell_length_b 5.5053
_cell_length_c 5.5819
_cell_angle_alpha 90.00
_cell_angle_beta 90.00
_cell_angle_gamma 90.00
_symmetry_space_group_name_H-M 'P 4/m m m'
_symmetry_Int_Tables_number 123
_symmetry_space_group_name_Hall '-P 4 2'
loop_
_atom_site_label
_atom_site_type_symbol
_atom_site_fract_x
_atom_site_fract_y
_atom_site_fract_z
Y1 Y 0.0000 0.0000 0.0000
Cu1 Cu 0.5000 0.5000 0.5000
Se1 Se 0.0000 0.0000 0.5000
Br1 Br 0.0000 0.5000 0.0000
```

## Properties
DFT total energy: -4.078 eV/atom
D(E_F): 8.296 states/eV/f.u.
formation energy without anion corrections: -600 meV per atom
polymorph energy (0 for the lowest one): 0.000 eV per atom

2.
Computed, not measured: a geometry-optimized ZnCuSeBr2 structure at the PBE level of DFT.

Cell and atoms, written as CIF:
```
data_ZnCuSeBr2
_chemical_formula_sum 'Zn1 Cu1 Se1 Br2'
_cell_length_a 4.8688
_cell_length_b 4.8688
_cell_length_c 5.1593
_cell_angle_alpha 90.00
_cell_angle_beta 90.00
_cell_angle_gamma 90.00
_symmetry_space_group_name_H-M 'P 4/m m m'
_symmetry_Int_Tables_number 123
_symmetry_space_group_name_Hall '-P 4 2'
loop_
_atom_site_label
_atom_site_type_symbol
_atom_site_fract_x
_atom_site_fract_y
_atom_site_fract_z
Zn1 Zn 0.0000 0.0000 0.0000
Cu1 Cu 0.5000 0.5000 0.5000
Se1 Se 0.5000 0.5000 0.0000
Br1 Br 0.0000 0.5000 0.5000
```

## Properties
DFT total energy: -2.235 eV/atom
D(E_F): 3.221 states/eV/f.u.
formation energy without anion corrections: 205 meV per atom
polymorph energy (0 for the lowest one): 0.000 eV per atom

3.
Computed, not measured: a geometry-optimized ZnCuSe2Br structure at the PBE level of DFT.

Cell and atoms, written as CIF:
```
data_ZnCuSe2Br
_chemical_formula_sum 'Zn1 Cu1 Se2 Br1'
_cell_length_a 4.8531
_cell_length_b 4.8531
_cell_length_c 4.9388
_cell_angle_alpha 90.00
_cell_angle_beta 90.00
_cell_angle_gamma 90.00
_symmetry_space_group_name_H-M 'P 4/m m m'
_symmetry_Int_Tables_number 123
_symmetry_space_group_name_Hall '-P 4 2'
loop_
_atom_site_label
_atom_site_type_symbol
_atom_site_fract_x
_atom_site_fract_y
_atom_site_fract_z
Zn1 Zn 0.0000 0.0000 0.0000
Cu1 Cu 0.5000 0.5000 0.5000
Se1 Se 0.0000 0.5000 0.5000
Br1 Br 0.5000 0.5000 0.0000
```

## Properties
DFT total energy: -2.435 eV/atom
D(E_F): 3.908 states/eV/f.u.
formation energy without anion corrections: 368 meV per atom
polymorph energy (0 for the lowest one): 0.000 eV per atom

4.
Computed, not measured: a geometry-optimized ZnCuSeBr2 structure at the PBE level of DFT.

Cell and atoms, written as CIF:
```
data_ZnCuSeBr2
_chemical_formula_sum 'Zn1 Cu1 Se1 Br2'
_cell_length_a 5.1751
_cell_length_b 5.1751
_cell_length_c 4.9466
_cell_angle_alpha 90.00
_cell_angle_beta 90.00
_cell_angle_gamma 90.00
_symmetry_space_group_name_H-M 'P 4/m m m'
_symmetry_Int_Tables_number 123
_symmetry_space_group_name_Hall '-P 4 2'
loop_
_atom_site_label
_atom_site_type_symbol
_atom_site_fract_x
_atom_site_fract_y
_atom_site_fract_z
Zn1 Zn 0.0000 0.0000 0.0000
Cu1 Cu 0.5000 0.5000 0.5000
Se1 Se 0.0000 0.0000 0.5000
Br1 Br 0.0000 0.5000 0.0000
```

## Properties
DFT total energy: -2.133 eV/atom
D(E_F): 5.066 states/eV/f.u.
formation energy without anion corrections: 307 meV per atom
polymorph energy (0 for the lowest one): 0.101 eV per atom

5.
Computed, not measured: a geometry-optimized ZnCuSe2Br structure at the PBE level of DFT.

Cell and atoms, written as CIF:
```
data_ZnCuSe2Br
_chemical_formula_sum 'Zn1 Cu1 Se2 Br1'
_cell_length_a 4.8208
_cell_length_b 4.8208
_cell_length_c 5.5228
_cell_angle_alpha 90.00
_cell_angle_beta 90.00
_cell_angle_gamma 90.00
_symmetry_space_group_name_H-M 'P 4/m m m'
_symmetry_Int_Tables_number 123
_symmetry_space_group_name_Hall '-P 4 2'
loop_
_atom_site_label
_atom_site_type_symbol
_atom_site_fract_x
_atom_site_fract_y
_atom_site_fract_z
Zn1 Zn 0.0000 0.0000 0.0000
Cu1 Cu 0.5000 0.5000 0.5000
Se1 Se 0.0000 0.5000 0.0000
Br1 Br 0.0000 0.0000 0.5000
```

## Properties
DFT total energy: -2.290 eV/atom
D(E_F): 6.491 states/eV/f.u.
formation energy without anion corrections: 512 meV per atom
polymorph energy (0 for the lowest one): 0.145 eV per atom

6.
Computed, not measured: a geometry-optimized ZrCuSe2Br structure at the PBE level of DFT.

Cell and atoms, written as CIF:
```
data_ZrCuSe2Br
_chemical_formula_sum 'Zr1 Cu1 Se2 Br1'
_cell_length_a 4.8372
_cell_length_b 4.8372
_cell_length_c 4.7469
_cell_angle_alpha 90.00
_cell_angle_beta 90.00
_cell_angle_gamma 90.00
_symmetry_space_group_name_H-M 'P 4/m m m'
_symmetry_Int_Tables_number 123
_symmetry_space_group_name_Hall '-P 4 2'
loop_
_atom_site_label
_atom_site_type_symbol
_atom_site_fract_x
_atom_site_fract_y
_atom_site_fract_z
Zr1 Zr 0.0000 0.0000 0.0000
Cu1 Cu 0.5000 0.5000 0.5000
Se1 Se 0.0000 0.5000 0.5000
Br1 Br 0.5000 0.5000 0.0000
```

## Properties
DFT total energy: -4.173 eV/atom
D(E_F): 4.701 states/eV/f.u.
formation energy without anion corrections: 84 meV per atom
polymorph energy (0 for the lowest one): 0.303 eV per atom

7.
Computed, not measured: a geometry-optimized ZrCuSe2Br structure at the PBE level of DFT.

Cell and atoms, written as CIF:
```
data_ZrCuSe2Br
_chemical_formula_sum 'Zr1 Cu1 Se2 Br1'
_cell_length_a 5.2228
_cell_length_b 5.2228
_cell_length_c 5.3255
_cell_angle_alpha 90.00
_cell_angle_beta 90.00
_cell_angle_gamma 90.00
_symmetry_space_group_name_H-M 'P 4/m m m'
_symmetry_Int_Tables_number 123
_symmetry_space_group_name_Hall '-P 4 2'
loop_
_atom_site_label
_atom_site_type_symbol
_atom_site_fract_x
_atom_site_fract_y
_atom_site_fract_z
Zr1 Zr 0.0000 0.0000 0.0000
Cu1 Cu 0.5000 0.5000 0.5000
Se1 Se 0.0000 0.5000 0.0000
Br1 Br 0.0000 0.0000 0.5000
```

## Properties
DFT total energy: -4.476 eV/atom
D(E_F): 2.527 states/eV/f.u.
formation energy without anion corrections: -219 meV per atom
polymorph energy (0 for the lowest one): 0.000 eV per atom

8.
Computed, not measured: a geometry-optimized CuSi2Br structure at the PBE level of DFT.

Cell and atoms, written as CIF:
```
data_CuSi2Br
_chemical_formula_sum 'Cu3 Si6 Br3'
_cell_length_a 3.9566
_cell_length_b 3.9566
_cell_length_c 17.3965
_cell_angle_alpha 90.00
_cell_angle_beta 90.00
_cell_angle_gamma 120.00
_symmetry_space_group_name_H-M 'R -3 m'
_symmetry_Int_Tables_number 166
_symmetry_space_group_name_Hall '-R 3 2"'
loop_
_atom_site_label
_atom_site_type_symbol
_atom_site_fract_x
_atom_site_fract_y
_atom_site_fract_z
Cu1 Cu 0.0000 0.0000 0.0000
Si1 Si 0.0000 0.0000 0.2921
Br1 Br 0.0000 0.0000 0.5000
```

## Properties
DFT total energy: -3.910 eV/atom
D(E_F): 1.749 states/eV/f.u.
formation energy without anion corrections: 244 meV per atom
polymorph energy (0 for the lowest one): 0.095 eV per atom

9.
Computed, not measured: a geometry-optimized CuSi2Br structure at the PBE level of DFT.

Cell and atoms, written as CIF:
```
data_CuSi2Br
_chemical_formula_sum 'Cu2 Si4 Br2'
_cell_length_a 3.4843
_cell_length_b 3.4843
_cell_length_c 16.6747
_cell_angle_alpha 90.00
_cell_angle_beta 90.00
_cell_angle_gamma 90.00
_symmetry_space_group_name_H-M 'I 4/m m m'
_symmetry_Int_Tables_number 139
_symmetry_space_group_name_Hall '-I 4 2'
loop_
_atom_site_label
_atom_site_type_symbol
_atom_site_fract_x
_atom_site_fract_y
_atom_site_fract_z
Cu1 Cu 0.0000 0.0000 0.0000
Si1 Si 0.0000 0.5000 0.2500
Br1 Br 0.0000 0.0000 0.5000
```

## Properties
DFT total energy: -3.687 eV/atom
D(E_F): 1.215 states/eV/f.u.
formation energy without anion corrections: 466 meV per atom
polymorph energy (0 for the lowest one): 0.317 eV per atom

10.
Computed, not measured: a geometry-optimized CuSiBr3 structure at the PBE level of DFT.

Cell and atoms, written as CIF:
```
data_CuSiBr3
_chemical_formula_sum 'Cu1 Si1 Br3'
_cell_length_a 5.0031
_cell_length_b 5.0031
_cell_length_c 5.0031
_cell_angle_alpha 90.00
_cell_angle_beta 90.00
_cell_angle_gamma 90.00
_symmetry_space_group_name_H-M 'P m -3 m'
_symmetry_Int_Tables_number 221
_symmetry_space_group_name_Hall '-P 4 2 3'
loop_
_atom_site_label
_atom_site_type_symbol
_atom_site_fract_x
_atom_site_fract_y
_atom_site_fract_z
Cu1 Cu 0.0000 0.0000 0.0000
Si1 Si 0.5000 0.5000 0.5000
Br1 Br 0.0000 0.0000 0.5000
```

## Properties
DFT total energy: -2.638 eV/atom
D(E_F): 3.209 states/eV/f.u.
formation energy without anion corrections: 269 meV per atom
polymorph energy (0 for the lowest one): 0.066 eV per atom